# 1
VASP calculation (GGA-PBE) on a relaxed structure of Ba3Cd2In3.

```
Ba3Cd2In3
1.0
2.627 -6.150 0.000
2.627 6.150 0.000
0.000 0.000 17.429
Ba Cd In
6 4 6
Direct
0.102 0.898 0.607 Ba
0.102 0.898 0.893 Ba
0.387 0.613 0.750 Ba
0.613 0.387 0.250 Ba
0.898 0.102 0.107 Ba
0.898 0.102 0.393 Ba
0.199 0.801 0.097 Cd
0.199 0.801 0.403 Cd
0.801 0.199 0.597 Cd
0.801 0.199 0.903 Cd
0.319 0.681 0.250 In
0.389 0.611 0.537 In
0.389 0.611 0.963 In
0.611 0.389 0.037 In
0.611 0.389 0.463 In
0.681 0.319 0.750 In
```

Properties
Spin magnetization (Bohr magnetons per cell): 0.00
ΔH_f (0 K) (meV per atom): -394
Calculated density (kg/m³): 5787
Crystal system: orthorhombic
Total energy (Ry per atom): -0.1743
Symmetry: Cmcm, No. 63
V (Å³/cell): 563.10

***

# 2
VASP calculation (GGA-PBE) on a relaxed structure of Pr4HgS2.

```
Pr4HgS2
1.0
2.073 -6.772 0.000
2.073 6.772 0.000
0.000 0.000 14.333
Pr Hg S
8 2 4
Direct
0.000 0.000 0.000 Pr
0.000 0.000 0.500 Pr
0.268 0.732 0.615 Pr
0.268 0.732 0.885 Pr
0.436 0.564 0.250 Pr
0.564 0.436 0.750 Pr
0.732 0.268 0.115 Pr
0.732 0.268 0.385 Pr
0.113 0.887 0.250 Hg
0.887 0.113 0.750 Hg
0.366 0.634 0.061 S
0.366 0.634 0.439 S
0.634 0.366 0.561 S
0.634 0.366 0.939 S
```

Properties
Spin magnetization (Bohr magnetons per cell): 1.53
Raw formation energy (eV per atom): -1.290
Calculated density (kg/m³): 6835
Crystal system: orthorhombic
Total energy (Ry per atom): -0.3854
Symmetry: Cmcm, No. 63
V (Å³/cell): 402.49

***

# 3
VASP calculation (GGA-PBE) on a relaxed structure of Ta2TlCd.

```
Ta2TlCd
1.0
3.052 0.000 0.000
-1.526 2.643 0.000
0.000 0.000 31.144
Ta Tl Cd
6 3 3
Direct
0.000 0.000 0.000 Ta
0.000 0.000 0.255 Ta
0.333 0.667 0.667 Ta
0.333 0.667 0.922 Ta
0.667 0.333 0.333 Ta
0.667 0.333 0.588 Ta
0.000 0.000 0.505 Tl
0.333 0.667 0.171 Tl
0.667 0.333 0.838 Tl
0.000 0.000 0.748 Cd
0.333 0.667 0.414 Cd
0.667 0.333 0.081 Cd
```

Properties
Spin magnetization (Bohr magnetons per cell): 0.00
ΔH_f (0 K) (meV per atom): 441
Calculated density (kg/m³): 13456
Crystal system: trigonal
Total energy (Ry per atom): -0.4635
Symmetry: R3m, No. 160
V (Å³/cell): 251.27

***

# 4
VASP calculation (GGA-PBE) on a relaxed structure of Ho2Ga3Cu4Au.

```
Ho2Ga3Cu4Au
1.0
4.008 0.000 0.000
0.000 4.008 0.000
0.000 0.000 10.864
Ho Ga Cu Au
2 3 4 1
Direct
0.000 0.500 0.247 Ho
0.500 0.000 0.753 Ho
0.000 0.500 0.869 Ga
0.500 0.000 0.131 Ga
0.500 0.500 0.500 Ga
0.000 0.000 0.000 Cu
0.000 0.500 0.651 Cu
0.500 0.000 0.349 Cu
0.500 0.500 0.000 Cu
0.000 0.000 0.500 Au
```

Properties
Spin magnetization (Bohr magnetons per cell): 0.00
ΔH_f (0 K) (meV per atom): -405
Calculated density (kg/m³): 9423
Crystal system: tetragonal
Total energy (Ry per atom): -0.3083
Symmetry: P-4m2, No. 115
V (Å³/cell): 174.48

***

# 5
VASP calculation (GGA-PBE) on a relaxed structure of Pr6SmEr2.

```
Pr6SmEr2
1.0
-2.900 10.721 4.993
2.900 -10.721 4.993
2.900 10.721 -4.993
Pr Sm Er
12 2 4
Direct
0.004 0.669 0.335 Pr
0.081 0.001 0.080 Pr
0.167 0.331 0.835 Pr
0.330 0.666 0.664 Pr
0.421 0.001 0.420 Pr
0.499 0.334 0.164 Pr
0.501 0.666 0.836 Pr
0.579 0.999 0.580 Pr
0.670 0.334 0.336 Pr
0.833 0.669 0.165 Pr
0.919 0.999 0.920 Pr
0.996 0.331 0.665 Pr
0.252 0.002 0.250 Sm
0.748 0.998 0.750 Sm
0.167 0.667 0.500 Er
0.333 0.333 0.000 Er
0.667 0.667 0.000 Er
0.833 0.333 0.500 Er
```

Properties
Spin magnetization (Bohr magnetons per cell): 0.00
ΔH_f (0 K) (meV per atom): 57
Calculated density (kg/m³): 7114
Crystal system: orthorhombic
Total energy (Ry per atom): -0.3431
Distance to the lowest polymorph of the same formula (meV/atom): 0
Symmetry: Imma, No. 74
V (Å³/cell): 621.02

***

# 6
VASP calculation (GGA-PBE) on a relaxed structure of Cd4HgPd5.

```
Cd4HgPd5
1.0
3.306 0.000 0.000
0.000 3.306 0.000
0.000 0.000 16.135
Cd Hg Pd
4 1 5
Direct
0.000 0.000 0.099 Cd
0.000 0.000 0.298 Cd
0.000 0.000 0.702 Cd
0.000 0.000 0.901 Cd
0.000 0.000 0.500 Hg
0.500 0.500 0.000 Pd
0.500 0.500 0.199 Pd
0.500 0.500 0.398 Pd
0.500 0.500 0.602 Pd
0.500 0.500 0.801 Pd
```

Properties
Spin magnetization (Bohr magnetons per cell): 0.00
ΔH_f (0 K) (meV per atom): -350
Calculated density (kg/m³): 11134
Crystal system: tetragonal
Total energy (Ry per atom): -0.2457
Symmetry: P4/mmm, No. 123
V (Å³/cell): 176.34

***

# 7
VASP calculation (GGA-PBE) on a relaxed structure of CeZrWC3.

```
CeZrWC3
1.0
7.173 0.000 0.000
0.000 3.458 0.000
-1.062 0.000 7.947
Ce Zr W C
2 2 2 6
Direct
0.169 0.250 0.181 Ce
0.831 0.750 0.819 Ce
0.364 0.750 0.866 Zr
0.636 0.250 0.134 Zr
0.116 0.250 0.597 W
0.884 0.750 0.403 W
0.129 0.250 0.848 C
0.179 0.750 0.483 C
0.410 0.750 0.139 C
0.590 0.250 0.861 C
0.821 0.250 0.517 C
0.871 0.750 0.152 C
```

Properties
Spin magnetization (Bohr magnetons per cell): 0.00
ΔH_f (0 K) (meV per atom): -16
Calculated density (kg/m³): 7601
Crystal system: monoclinic
Total energy (Ry per atom): -0.6762
Symmetry: P2_1/m, No. 11
V (Å³/cell): 197.14

***

# 8
VASP calculation (GGA-PBE) on a relaxed structure of Zn2InTe2.

```
Zn2InTe2
1.0
7.977 0.000 0.000
0.000 7.977 0.000
0.000 0.000 3.839
Zn In Te
4 2 4
Direct
0.124 0.376 0.000 Zn
0.376 0.876 0.000 Zn
0.624 0.124 0.000 Zn
0.876 0.624 0.000 Zn
0.000 0.000 0.000 In
0.500 0.500 0.000 In
0.176 0.676 0.500 Te
0.324 0.176 0.500 Te
0.676 0.824 0.500 Te
0.824 0.324 0.500 Te
```

Properties
Spin magnetization (Bohr magnetons per cell): 0.00
Raw formation energy (eV per atom): -0.017
Calculated density (kg/m³): 6811
Crystal system: tetragonal
Total energy (Ry per atom): -0.1713
Distance to the lowest polymorph of the same formula (meV/atom): 18
Symmetry: P4/mbm, No. 127
V (Å³/cell): 244.22